P.
PBE-GGA Rb5Tl2Te5, optimized geometry; DOS(E_F) = 5.63 states/eV/f.u.; total magnetic moment = 0.0 μB per formula unit
1.0
5.8674 0.2589 -0.6337
-2.3542 8.7699 -0.1511
-1.7296 -0.5431 11.3877
Te Rb Tl
5 5 2
Direct
0.0000 0.0000 0.0000
0.1680 0.2519 0.6066
0.8320 0.7481 0.3934
0.5830 0.8180 0.7895
0.4170 0.1820 0.2105
0.2097 0.4970 0.3532
0.5000 0.0000 0.5000
0.7903 0.5030 0.6468
0.4680 0.7879 0.0864
0.5320 0.2121 0.9136
0.9391 0.0857 0.3113
0.0609 0.9143 0.6887

Q.
PBE-GGA Rb5Tl2Te5, optimized geometry; DOS(E_F) = 5.46 states/eV/f.u.; total magnetic moment = 0.0 μB per formula unit
1.0
-0.8613 4.1477 2.6054
-4.9723 0.4115 -7.0453
-7.2233 -7.3089 9.2477
Te Rb Tl
5 5 2
Direct
0.8929 0.7857 0.6214
0.1071 0.2143 0.3786
0.3479 0.6957 0.2056
0.0000 0.0000 0.0000
0.6521 0.3043 0.7944
0.7630 0.5261 0.3637
0.5000 0.0000 0.5000
0.3378 0.6757 0.9337
0.2370 0.4739 0.6363
0.6622 0.3243 0.0663
0.9627 0.9254 0.2017
0.0373 0.0746 0.7983

Most stable = Q

P.
PBE-GGA Rb2TlTe, optimized geometry; DOS(E_F) = 0.97 states/eV/f.u.; total magnetic moment = 1.0 μB per formula unit
1.0
-1.1912 -4.4108 -3.3303
-0.2009 -3.3700 4.5352
-12.6139 -1.5731 1.7963
Rb Tl Te
4 2 2
Direct
0.1491 0.6250 0.2500
0.6009 0.1250 0.2500
0.3750 0.3991 0.7500
0.8750 0.8509 0.7500
0.7500 0.2500 0.5000
0.0000 0.0000 0.0000
0.2500 0.7500 0.5000
0.5000 0.5000 0.0000

Q.
PBE-GGA Rb2TlTe, optimized geometry; DOS(E_F) = 3.52 states/eV/f.u.; total magnetic moment = 0.0 μB per formula unit
1.0
-4.2113 -2.4054 -3.9183
-5.8655 2.1135 0.0461
-2.1234 3.4074 -4.7702
Rb Te Tl
2 1 1
Direct
0.7500 0.7500 0.7500
0.2500 0.2500 0.2500
0.0000 0.0000 0.0000
0.5000 0.5000 0.5000

Most stable = Q